VASP calculation (PBE-GGA) on Zn2CuOs after structural relaxation.

Structure (POSCAR):
```
Zn2CuOs
1.0
-0.8814 2.9102 0.3067
-2.2911 -0.8855 1.8185
3.4403 0.5567 4.6054
Os Zn Cu
1 2 1
Direct
0.5000 0.5000 0.7500
0.0000 0.0000 0.0064
0.0000 0.0000 0.4936
0.5000 0.5000 0.2500
```

Properties
- formation enthalpy at 0 K (eV per atom) = 0.18
- crystal system = tetragonal
- volume (Å³/f.u.) = 53.94



VASP calculation (PBE-GGA) on ZnCu2Os after structural relaxation.

Structure (POSCAR):
```
ZnCu2Os
1.0
-3.0662 -3.3916 -0.1627
2.1155 -3.8654 -1.2307
0.9512 3.0758 3.2505
Cu Zn Os
2 1 1
Direct
0.5000 0.5000 0.0000
0.0000 0.0000 0.0000
0.7500 0.2500 0.5000
0.2500 0.7500 0.5000
```

Properties
- formation enthalpy at 0 K (eV per atom) = 0.33
- crystal system = tetragonal
- volume (Å³/f.u.) = 52.55



VASP calculation (PBE-GGA) on Zn2CuOs after structural relaxation.

Structure (POSCAR):
```
Zn2CuOs
1.0
4.6119 0.0178 0.0000
1.4324 4.3839 0.0000
-3.0221 -2.2008 2.7006
Zn Os Cu
2 1 1
Direct
0.0000 0.0000 0.0000
0.5000 0.5000 0.0000
0.7500 0.2500 0.5000
0.2500 0.7500 0.5000
```

Properties
- formation enthalpy at 0 K (eV per atom) = 0.20
- crystal system = tetragonal
- volume (Å³/f.u.) = 54.53



VASP calculation (PBE-GGA) on ZnCu2Os after structural relaxation.

Structure (POSCAR):
```
ZnCu2Os
1.0
-0.4200 1.4922 -3.2033
-0.6311 -3.2056 -1.4105
-9.3211 0.1592 -0.6804
Cu Zn Os
4 2 2
Direct
0.3750 0.3728 0.7500
0.1228 0.6250 0.2500
0.8750 0.8772 0.7500
0.6272 0.1250 0.2500
0.5000 0.5000 0.0000
0.2500 0.7500 0.5000
0.0000 0.0000 0.0000
0.7500 0.2500 0.5000
```

Properties
- formation enthalpy at 0 K (eV per atom) = 0.61
- crystal system = tetragonal
- volume (Å³/f.u.) = 57.00



VASP calculation (PBE-GGA) on ZnCu2Os after structural relaxation.

Structure (POSCAR):
```
ZnCu2Os
1.0
-4.7755 1.9662 0.1425
-3.7268 -2.1538 -2.8573
3.4770 -0.3022 3.8093
Cu Os Zn
2 1 1
Direct
0.0051 0.0051 0.0000
0.4949 0.4949 0.0000
0.7500 0.2500 0.5000
0.2500 0.7500 0.5000
```

Properties
- formation enthalpy at 0 K (eV per atom) = 0.24
- crystal system = orthorhombic
- volume (Å³/f.u.) = 52.91



VASP calculation (PBE-GGA) on ZnCu4Os after structural relaxation.

Structure (POSCAR):
```
ZnCu4Os
1.0
-2.5974 -0.7256 3.9329
-2.3163 3.6392 2.0327
-4.7592 0.2140 -0.2125
Cu Zn Os
4 1 1
Direct
0.3751 0.8746 0.3751
0.3751 0.3751 0.3751
0.8746 0.3751 0.3751
0.3751 0.3751 0.8746
0.0000 0.0000 0.0000
0.7500 0.7500 0.7500
```

Properties
- formation enthalpy at 0 K (eV per atom) = 0.31
- crystal system = cubic
- volume (Å³/f.u.) = 76.68



VASP calculation (PBE-GGA) on ZnCu3Os after structural relaxation.

Structure (POSCAR):
```
ZnCu3Os
1.0
4.6666 0.0000 0.0000
0.0000 4.6666 0.0000
0.0000 0.0000 4.6666
Cu Os Zn
3 1 1
Direct
0.5000 0.0000 0.0000
0.0000 0.5000 0.0000
0.0000 0.0000 0.5000
0.0000 0.0000 0.0000
0.5000 0.5000 0.5000
```

Properties
- formation enthalpy at 0 K (eV per atom) = 1.40
- crystal system = cubic
- volume (Å³/f.u.) = 101.62
- ΔE to the lowest computed polymorph (meV per atom) = 77



VASP calculation (PBE-GGA) on ZnCu3Os after structural relaxation.

Structure (POSCAR):
```
ZnCu3Os
1.0
4.2677 0.0000 0.0000
0.0000 4.2677 0.0000
0.0000 0.0000 4.2677
Zn Cu Os
1 3 1
Direct
0.0000 0.0000 0.0000
0.0000 0.0000 0.5000
0.0000 0.5000 0.0000
0.5000 0.0000 0.0000
0.5000 0.5000 0.5000
```

Properties
- formation enthalpy at 0 K (eV per atom) = 1.32
- crystal system = cubic
- volume (Å³/f.u.) = 77.73
- ΔE to the lowest computed polymorph (meV per atom) = 0



VASP calculation (PBE-GGA) on Zn2CuOs after structural relaxation.

Structure (POSCAR):
```
Zn2CuOs
1.0
4.4041 0.0000 0.0000
0.0000 2.6823 -0.2840
0.0000 0.4851 4.5980
Cu Os Zn
1 1 2
Direct
0.0000 0.6253 0.4521
0.5000 0.6248 0.8017
0.5000 0.1246 0.3067
0.0000 0.1253 0.9395
```

Properties
- formation enthalpy at 0 K (eV per atom) = 0.14
- crystal system = orthorhombic
- volume (Å³/f.u.) = 54.92



VASP calculation (PBE-GGA) on Zn2CuOs after structural relaxation.

Structure (POSCAR):
```
Zn2CuOs
1.0
-3.4222 0.3404 -1.2513
-1.2758 -0.2504 3.4209
-1.7842 8.8729 1.9416
Os Cu Zn
2 2 4
Direct
0.0000 0.0000 0.0000
0.7500 0.2500 0.5000
0.5000 0.5000 0.0000
0.2500 0.7500 0.5000
0.6292 0.1250 0.2500
0.3750 0.3708 0.7500
0.1208 0.6250 0.2500
0.8750 0.8792 0.7500
```

Properties
- formation enthalpy at 0 K (eV per atom) = 0.52
- crystal system = tetragonal
- volume (Å³/f.u.) = 59.51



VASP calculation (PBE-GGA) on ZnCu2Os after structural relaxation.

Structure (POSCAR):
```
ZnCu2Os
1.0
-1.1603 2.1271 1.0015
0.3978 -1.9987 1.6495
7.8035 3.2745 2.0858
Os Zn Cu
1 1 2
Direct
0.0000 0.0000 0.4969
0.5000 0.5000 0.7596
0.0000 0.0000 0.0027
0.5000 0.5000 0.2409
```

Properties
- formation enthalpy at 0 K (eV per atom) = 0.20
- crystal system = orthorhombic
- volume (Å³/f.u.) = 53.64



VASP calculation (PBE-GGA) on ZnCu2Os after structural relaxation.

Structure (POSCAR):
```
ZnCu2Os
1.0
8.7837 0.0088 0.0052
8.3788 2.6360 0.0052
8.3788 1.2912 2.2981
Cu Zn Os
2 1 1
Direct
0.0011 0.0011 0.0011
0.4989 0.4989 0.4989
0.7500 0.7500 0.7500
0.2500 0.2500 0.2500
```

Properties
- formation enthalpy at 0 K (eV per atom) = 0.10
- crystal system = trigonal
- volume (Å³/f.u.) = 52.92



VASP calculation (PBE-GGA) on ZnCu2Os after structural relaxation.

Structure (POSCAR):
```
ZnCu2Os
1.0
-3.6134 2.4140 1.7313
-4.6186 0.7418 0.0019
-1.3612 -2.7523 3.4524
Os Cu Zn
1 2 1
Direct
0.7500 0.7500 0.7500
0.9989 0.9989 0.9952
0.5011 0.5011 0.5048
0.2500 0.2500 0.2500
```

Properties
- formation enthalpy at 0 K (eV per atom) = 0.21
- crystal system = monoclinic
- volume (Å³/f.u.) = 52.97



VASP calculation (PBE-GGA) on ZnCuOs4 after structural relaxation.

Structure (POSCAR):
```
ZnCuOs4
1.0
0.0000 3.6306 3.6306
3.6306 0.0000 3.6306
3.6306 3.6306 0.0000
Os Zn Cu
4 1 1
Direct
0.3749 0.3749 0.3749
0.3749 0.8752 0.3749
0.3749 0.3749 0.8752
0.8752 0.3749 0.3749
0.7500 0.7500 0.7500
0.0000 0.0000 0.0000
```

Properties
- formation enthalpy at 0 K (eV per atom) = 0.84
- crystal system = cubic
- volume (Å³/f.u.) = 95.71



VASP calculation (PBE-GGA) on ZnCu2Os after structural relaxation.

Structure (POSCAR):
```
ZnCu2Os
1.0
-2.8506 -3.6080 -0.1057
2.3868 -3.9035 0.4692
-0.0476 3.8998 2.4380
Cu Os Zn
2 1 1
Direct
0.0000 0.0000 0.0000
0.2500 0.7500 0.5000
0.5000 0.5000 0.0000
0.7500 0.2500 0.5000
```

Properties
- formation enthalpy at 0 K (eV per atom) = 0.31
- crystal system = tetragonal
- volume (Å³/f.u.) = 52.46